Entry 1:
Below is crystalline Er5Tm4In4 at its relaxed geometry, with properties calculated at the PBE level.

extended XYZ file:
```
13
Lattice="-6.0255 6.0255 2.5123 6.0255 -6.0255 2.5123 6.0255 6.0255 -2.5123" Properties=species:S:1:pos:R:3 pbc="T T T"
Er 0.0000 0.0000 0.0000
Er 4.8825 3.7833 0.0000
Er 2.2422 -1.1429 2.5123
Er 3.7833 7.1684 0.0000
Er 1.1429 2.2422 2.5123
Tm 7.3091 1.1767 0.0000
Tm 1.1767 4.7418 0.0000
Tm 4.8488 1.2837 2.5123
Tm -1.2837 4.8488 2.5123
In 2.8296 1.3042 0.0000
In 4.7213 -3.1958 2.5123
In 1.3042 9.2213 0.0000
In 3.1958 4.7213 2.5123
```

Computed properties:
E_tot	-4.29	eV/atom
ΔH_f (0 K)	-0.3181	eV/atom
SG	No. 87
crystal system	tetragonal

---

Entry 2:
Below is crystalline Er2Tm6In at its relaxed geometry, with properties calculated at the PBE level.

extended XYZ file:
```
9
Lattice="7.3961 -1.7375 0.0000 7.3961 1.7375 0.0000 -2.4663 0.0000 10.2480" Properties=species:S:1:pos:R:3 pbc="T T T"
Er 1.8721 0.0000 2.1974
Er 10.4538 0.0000 8.0506
Tm 0.1981 0.0000 9.1310
Tm 1.1149 0.0000 5.7248
Tm 5.7564 0.0000 6.7459
Tm 6.5695 0.0000 3.5021
Tm 11.2111 0.0000 4.5232
Tm 12.1279 0.0000 1.1170
In 7.3961 0.0000 0.0000
```

Computed properties:
E_tot	-4.37	eV/atom
ΔH_f (0 K)	-0.0677	eV/atom
relative energy among the computed polymorphs	0	meV/atom
SG	No. 12
crystal system	monoclinic

---

Entry 3:
Below is crystalline ErTm3In4 at its relaxed geometry, with properties calculated at the PBE level.

extended XYZ file:
```
16
Lattice="10.6655 0.0000 0.0000 0.0000 7.0942 0.0000 0.0000 0.0000 5.4400" Properties=species:S:1:pos:R:3 pbc="T T T"
Er 0.0000 0.0000 0.0000
Er 5.3328 0.0000 0.0000
Tm 0.0000 3.5471 0.0000
Tm 2.6664 0.0000 2.2972
Tm 2.6664 3.5471 2.2870
Tm 5.3328 3.5471 0.0000
Tm 7.9992 0.0000 3.1428
Tm 7.9992 3.5471 3.1530
In 0.0000 1.7801 2.7200
In 0.0000 5.3141 2.7200
In 2.6664 1.7801 4.9672
In 2.6664 5.3141 4.9672
In 5.3328 1.7801 2.7200
In 5.3328 5.3141 2.7200
In 7.9992 1.7801 0.4728
In 7.9992 5.3141 0.4728
```

Computed properties:
E_tot	-4.04	eV/atom
ΔH_f (0 K)	-0.4280	eV/atom
SG	No. 51
crystal system	orthorhombic

---

Entry 4:
Below is crystalline Er6Tm2In3 at its relaxed geometry, with properties calculated at the PBE level.

extended XYZ file:
```
11
Lattice="-2.2474 2.2474 16.5296 2.2474 -2.2474 16.5296 2.2474 2.2474 -16.5296" Properties=species:S:1:pos:R:3 pbc="T T T"
Er 2.2474 0.0000 4.2003
Er 0.0000 0.0000 7.0280
Er 2.2474 0.0000 12.3293
Er 0.0000 2.2474 4.2003
Er 0.0000 0.0000 26.0312
Er 0.0000 2.2474 12.3293
Tm 0.0000 0.0000 1.5043
Tm 0.0000 0.0000 31.5549
In 0.0000 0.0000 10.1241
In 0.0000 0.0000 16.5296
In 0.0000 0.0000 22.9352
```

Computed properties:
E_tot	-4.01	eV/atom
ΔH_f (0 K)	0.0390	eV/atom
SG	No. 139
crystal system	tetragonal

---

Entry 5:
Below is crystalline Er3Tm4In at its relaxed geometry, with properties calculated at the PBE level.

extended XYZ file:
```
16
Lattice="11.0578 0.0000 0.0000 0.0000 6.9181 0.0000 0.0000 0.0000 6.0776" Properties=species:S:1:pos:R:3 pbc="T T T"
Er 0.0000 0.8785 0.0000
Er 2.6974 2.6497 1.1836
Er 2.8315 4.2685 4.2224
Er 5.5289 6.0396 3.0388
Er 8.2263 4.2685 4.2224
Er 8.3604 2.6497 1.1836
Tm 0.0000 2.5637 3.2074
Tm 0.0000 6.0216 3.1909
Tm 2.6605 6.0501 1.0614
Tm 2.8684 0.8681 4.1002
Tm 5.5289 0.8965 0.1520
Tm 5.5289 4.3544 0.1686
Tm 8.1894 0.8681 4.1002
Tm 8.3973 6.0501 1.0614
In 0.0000 4.3186 0.0955
In 5.5289 2.5995 3.1343
```

Computed properties:
E_tot	-4.40	eV/atom
ΔH_f (0 K)	-0.1091	eV/atom
SG	No. 31
crystal system	orthorhombic

---

Entry 6:
Below is crystalline ErTmIn4 at its relaxed geometry, with properties calculated at the PBE level.

extended XYZ file:
```
6
Lattice="0.0000 4.2184 4.2184 4.2184 0.0000 4.2184 4.2184 4.2184 0.0000" Properties=species:S:1:pos:R:3 pbc="T T T"
Er 0.0000 0.0000 0.0000
Tm 6.3275 6.3275 6.3275
In 3.1638 3.1638 3.1638
In 5.2729 5.2729 3.1638
In 5.2729 3.1638 5.2729
In 3.1638 5.2729 5.2729
```

Computed properties:
E_tot	-3.60	eV/atom
ΔH_f (0 K)	-0.2674	eV/atom
relative energy among the computed polymorphs	85	meV/atom
SG	No. 216
crystal system	cubic

---

Entry 7:
Below is crystalline Er4TmIn3 at its relaxed geometry, with properties calculated at the PBE level.

extended XYZ file:
```
8
Lattice="2.6506 1.5303 9.0227 -2.6506 1.5303 9.0227 0.0000 -3.0606 9.0227" Properties=species:S:1:pos:R:3 pbc="T T T"
Er 0.0000 0.0000 3.0817
Er 0.0000 0.0000 10.0422
Er 0.0000 0.0000 17.0259
Er 0.0000 0.0000 23.9863
Tm 0.0000 0.0000 13.5340
In 0.0000 0.0000 0.0000
In 0.0000 0.0000 6.3763
In 0.0000 0.0000 20.6918
```

Computed properties:
E_tot	-4.18	eV/atom
ΔH_f (0 K)	-0.3079	eV/atom
relative energy among the computed polymorphs	22	meV/atom
SG	No. 166
crystal system	trigonal

---

Entry 8:
Below is crystalline Er12Tm6In at its relaxed geometry, with properties calculated at the PBE level.

extended XYZ file:
```
19
Lattice="5.8402 3.3718 4.9257 -5.8402 3.3718 4.9257 0.0000 -6.7437 4.9257" Properties=species:S:1:pos:R:3 pbc="T T T"
Er -5.2274 1.3893 6.1769
Er -3.8169 -3.8324 8.6002
Er -2.0517 -0.0360 4.6424
Er 1.4105 -5.2217 6.1769
Er 1.0570 -1.7589 4.6424
Er 0.9947 1.7948 4.6424
Er -0.9947 -1.7948 10.1347
Er -1.0570 1.7589 10.1347
Er -1.4105 5.2217 8.6002
Er 2.0517 0.0360 10.1347
Er 3.8169 3.8324 6.1769
Er 5.2274 -1.3893 8.6002
Tm -3.2239 -0.7682 7.6942
Tm -0.9467 -3.1761 7.0829
Tm -2.2772 2.4079 7.0829
Tm 2.2772 -2.4079 7.6942
Tm 0.9467 3.1761 7.6942
Tm 3.2239 0.7682 7.0829
In 0.0000 0.0000 7.3885
```

Computed properties:
E_tot	-4.36	eV/atom
ΔH_f (0 K)	0.0792	eV/atom
SG	No. 148
crystal system	trigonal

---

Entry 9:
Below is crystalline Er9Tm4In11 at its relaxed geometry, with properties calculated at the PBE level.

extended XYZ file:
```
24
Lattice="7.8748 -11.5509 0.0000 7.8748 11.5509 0.0000 0.0000 0.0000 3.4687" Properties=species:S:1:pos:R:3 pbc="T T T"
Er 0.0000 0.0000 0.0000
Er 6.1227 6.3766 0.0000
Er 6.1639 2.1934 0.0000
Er 9.6270 6.3766 0.0000
Er 6.1639 -2.1934 0.0000
Er 9.5857 2.1934 0.0000
Er 6.1227 -6.3766 0.0000
Er 9.5857 -2.1934 0.0000
Er 9.6270 -6.3766 0.0000
Tm 2.6957 1.8855 0.0000
Tm 2.6957 -1.8855 0.0000
Tm 13.0540 1.8855 0.0000
Tm 13.0540 -1.8855 0.0000
In 4.3068 4.2211 1.7344
In 7.8748 8.7523 1.7344
In 4.5988 0.0000 1.7344
In 7.8748 4.3239 1.7344
In 4.3068 -4.2211 1.7344
In 7.8748 0.0000 1.7344
In 11.4429 4.2211 1.7344
In 7.8748 -4.3239 1.7344
In 11.1508 0.0000 1.7344
In 7.8748 -8.7523 1.7344
In 11.4429 -4.2211 1.7344
```

Computed properties:
E_tot	-4.08	eV/atom
ΔH_f (0 K)	-0.3704	eV/atom
SG	No. 65
crystal system	orthorhombic

---

Entry 10:
Below is crystalline Er2Tm3In6 at its relaxed geometry, with properties calculated at the PBE level.

extended XYZ file:
```
11
Lattice="-2.8720 2.8720 11.0893 2.8720 -2.8720 11.0893 2.8720 2.8720 -11.0893" Properties=species:S:1:pos:R:3 pbc="T T T"
Er 0.0000 0.0000 1.7225
Er 0.0000 0.0000 20.4561
Tm 0.0000 0.0000 7.8715
Tm 0.0000 0.0000 11.0893
Tm 0.0000 0.0000 14.3072
In 2.8720 0.0000 1.5607
In 0.0000 0.0000 4.7998
In 2.8720 0.0000 9.5286
In 0.0000 2.8720 1.5607
In 0.0000 0.0000 17.3789
In 0.0000 2.8720 9.5286
```

Computed properties:
E_tot	-3.41	eV/atom
ΔH_f (0 K)	0.1355	eV/atom
SG	No. 139
crystal system	tetragonal